(1)
DFT (PBE) results for a geometry-optimized RbLaSc2Cl structure.

Geometry as CIF:
```
data_RbLaSc2Cl
_space_group_name_H-M_alt 'P 4/m m m'
_space_group_IT_number 123
_space_group_name_Hall '-P 4 2'
_cell_length_a 5.078
_cell_length_b 5.078
_cell_length_c 5.875
_cell_angle_alpha 90.00
_cell_angle_beta 90.00
_cell_angle_gamma 90.00
loop_
_atom_site_label
_atom_site_type_symbol
_atom_site_fract_x
_atom_site_fract_y
_atom_site_fract_z
Rb1 Rb 0.000 0.000 0.000
La1 La 0.500 0.500 0.000
Sc1 Sc 0.000 0.500 0.500
Cl1 Cl 0.500 0.500 0.500
```

Calculated values
The calculation puts the uncorrected formation energy at 19 meV/atom.

(2)
DFT (PBE) results for a geometry-optimized Rb2LaScCl6 structure.

Geometry as CIF:
```
data_Rb2LaScCl6
_space_group_name_H-M_alt 'F m -3 m'
_space_group_IT_number 225
_space_group_name_Hall '-F 4 2 3'
_cell_length_a 10.805
_cell_length_b 10.805
_cell_length_c 10.805
_cell_angle_alpha 90.00
_cell_angle_beta 90.00
_cell_angle_gamma 90.00
loop_
_atom_site_label
_atom_site_type_symbol
_atom_site_fract_x
_atom_site_fract_y
_atom_site_fract_z
Rb1 Rb 0.250 0.250 0.250
La1 La 0.000 0.000 0.000
Sc1 Sc 0.000 0.000 0.500
Cl1 Cl 0.000 0.000 0.261
```

Calculated values
The calculation puts the uncorrected formation energy at -1911 meV/atom.

(3)
DFT (PBE) results for a geometry-optimized RbLaSeCl structure.

Geometry as CIF:
```
data_RbLaSeCl
_space_group_name_H-M_alt 'R 3 m'
_space_group_IT_number 160
_space_group_name_Hall 'R 3 -2"'
_cell_length_a 4.2721
_cell_length_b 4.2721
_cell_length_c 24.7562
_cell_angle_alpha 90.00
_cell_angle_beta 90.00
_cell_angle_gamma 120.00
loop_
_atom_site_label
_atom_site_type_symbol
_atom_site_fract_x
_atom_site_fract_y
_atom_site_fract_z
Rb1 Rb 0.0000 0.0000 0.0000
La1 La 0.0000 0.0000 0.8243
Se1 Se 0.0000 0.0000 0.4229
Cl1 Cl 0.0000 0.0000 0.2337
```

Calculated values
The calculation puts the uncorrected formation energy at -1681 meV/atom.

(4)
DFT (PBE) results for a geometry-optimized RbLaSeCl2 structure.

Geometry as CIF:
```
data_RbLaSeCl2
_space_group_name_H-M_alt 'P 4/m m m'
_space_group_IT_number 123
_space_group_name_Hall '-P 4 2'
_cell_length_a 5.663
_cell_length_b 5.663
_cell_length_c 5.783
_cell_angle_alpha 90.00
_cell_angle_beta 90.00
_cell_angle_gamma 90.00
loop_
_atom_site_label
_atom_site_type_symbol
_atom_site_fract_x
_atom_site_fract_y
_atom_site_fract_z
Rb1 Rb 0.000 0.000 0.000
La1 La 0.500 0.500 0.500
Se1 Se 0.500 0.500 0.000
Cl1 Cl 0.000 0.500 0.500
```

Calculated values
The calculation puts the uncorrected formation energy at -2001 meV/atom.

(5)
DFT (PBE) results for a geometry-optimized Rb2LaSe2Cl2 structure.

Geometry as CIF:
```
data_Rb2LaSe2Cl2
_space_group_name_H-M_alt 'I 4/m m m'
_space_group_IT_number 139
_space_group_name_Hall '-I 4 2'
_cell_length_a 5.777
_cell_length_b 5.777
_cell_length_c 17.014
_cell_angle_alpha 90.00
_cell_angle_beta 90.00
_cell_angle_gamma 90.00
loop_
_atom_site_label
_atom_site_type_symbol
_atom_site_fract_x
_atom_site_fract_y
_atom_site_fract_z
Rb1 Rb 0.000 0.000 0.144
La1 La 0.000 0.000 0.500
Se1 Se 0.000 0.500 0.000
Cl1 Cl 0.000 0.000 0.333
```

Calculated values
The calculation puts the uncorrected formation energy at -1639 meV/atom.

(6)
DFT (PBE) results for a geometry-optimized RbLa2SiCl structure.

Geometry as CIF:
```
data_RbLa2SiCl
_space_group_name_H-M_alt 'P 4/m m m'
_space_group_IT_number 123
_space_group_name_Hall '-P 4 2'
_cell_length_a 5.552
_cell_length_b 5.552
_cell_length_c 5.343
_cell_angle_alpha 90.00
_cell_angle_beta 90.00
_cell_angle_gamma 90.00
loop_
_atom_site_label
_atom_site_type_symbol
_atom_site_fract_x
_atom_site_fract_y
_atom_site_fract_z
Rb1 Rb 0.000 0.000 0.000
La1 La 0.000 0.500 0.500
Si1 Si 0.500 0.500 0.000
Cl1 Cl 0.500 0.500 0.500
```

Calculated values
The calculation puts the uncorrected formation energy at -45 meV/atom.

(7)
DFT (PBE) results for a geometry-optimized RbLaSn2Cl8 structure.

Geometry as CIF:
```
data_RbLaSn2Cl8
_space_group_name_H-M_alt 'P -1'
_space_group_IT_number 2
_space_group_name_Hall '-P 1'
_cell_length_a 6.572
_cell_length_b 6.998
_cell_length_c 9.331
_cell_angle_alpha 86.48
_cell_angle_beta 87.62
_cell_angle_gamma 87.89
loop_
_atom_site_label
_atom_site_type_symbol
_atom_site_fract_x
_atom_site_fract_y
_atom_site_fract_z
Rb1 Rb 0.000 0.000 0.000
La1 La 0.000 0.000 0.500
Sn1 Sn 0.493 0.486 0.247
Cl1 Cl 0.221 0.815 0.285
Cl2 Cl 0.252 0.323 0.459
Cl3 Cl 0.258 0.859 0.716
Cl4 Cl 0.280 0.369 0.050
```

Calculated values
The calculation puts the uncorrected formation energy at -1618 meV/atom.

(8)
DFT (PBE) results for a geometry-optimized Rb2LaTaCl6 structure.

Geometry as CIF:
```
data_Rb2LaTaCl6
_space_group_name_H-M_alt 'F m -3 m'
_space_group_IT_number 225
_space_group_name_Hall '-F 4 2 3'
_cell_length_a 10.633
_cell_length_b 10.633
_cell_length_c 10.633
_cell_angle_alpha 90.00
_cell_angle_beta 90.00
_cell_angle_gamma 90.00
loop_
_atom_site_label
_atom_site_type_symbol
_atom_site_fract_x
_atom_site_fract_y
_atom_site_fract_z
Rb1 Rb 0.250 0.250 0.250
La1 La 0.000 0.000 0.000
Ta1 Ta 0.000 0.000 0.500
Cl1 Cl 0.000 0.000 0.264
```

Calculated values
The calculation puts the uncorrected formation energy at -1481 meV/atom.

(9)
DFT (PBE) results for a geometry-optimized Rb2LaTcCl6 structure.

Geometry as CIF:
```
data_Rb2LaTcCl6
_space_group_name_H-M_alt 'F m -3 m'
_space_group_IT_number 225
_space_group_name_Hall '-F 4 2 3'
_cell_length_a 10.458
_cell_length_b 10.458
_cell_length_c 10.458
_cell_angle_alpha 90.00
_cell_angle_beta 90.00
_cell_angle_gamma 90.00
loop_
_atom_site_label
_atom_site_type_symbol
_atom_site_fract_x
_atom_site_fract_y
_atom_site_fract_z
Rb1 Rb 0.250 0.250 0.250
La1 La 0.000 0.000 0.000
Tc1 Tc 0.000 0.000 0.500
Cl1 Cl 0.000 0.000 0.265
```

Calculated values
The calculation puts the uncorrected formation energy at -1508 meV/atom.

(10)
DFT (PBE) results for a geometry-optimized RbLaTeCl2 structure.

Geometry as CIF:
```
data_RbLaTeCl2
_space_group_name_H-M_alt 'C m c m'
_space_group_IT_number 63
_space_group_name_Hall '-C 2c 2'
_cell_length_a 4.670
_cell_length_b 17.823
_cell_length_c 9.147
_cell_angle_alpha 90.00
_cell_angle_beta 90.00
_cell_angle_gamma 90.00
loop_
_atom_site_label
_atom_site_type_symbol
_atom_site_fract_x
_atom_site_fract_y
_atom_site_fract_z
Rb1 Rb 0.000 0.217 0.250
La1 La 0.000 0.500 0.000
Te1 Te 0.000 0.007 0.750
Cl1 Cl 0.000 0.346 0.519
```

Calculated values
The calculation puts the uncorrected formation energy at -1943 meV/atom.

(11)
DFT (PBE) results for a geometry-optimized Rb2LaTiCl6 structure.

Geometry as CIF:
```
data_Rb2LaTiCl6
_space_group_name_H-M_alt 'F m -3 m'
_space_group_IT_number 225
_space_group_name_Hall '-F 4 2 3'
_cell_length_a 10.701
_cell_length_b 10.701
_cell_length_c 10.701
_cell_angle_alpha 90.00
_cell_angle_beta 90.00
_cell_angle_gamma 90.00
loop_
_atom_site_label
_atom_site_type_symbol
_atom_site_fract_x
_atom_site_fract_y
_atom_site_fract_z
Rb1 Rb 0.250 0.250 0.250
La1 La 0.000 0.000 0.000
Ti1 Ti 0.000 0.000 0.500
Cl1 Cl 0.000 0.000 0.261
```

Calculated values
The calculation puts the uncorrected formation energy at -1814 meV/atom.

(12)
DFT (PBE) results for a geometry-optimized Rb2LaVCl6 structure.

Geometry as CIF:
```
data_Rb2LaVCl6
_space_group_name_H-M_alt 'F m -3 m'
_space_group_IT_number 225
_space_group_name_Hall '-F 4 2 3'
_cell_length_a 10.733
_cell_length_b 10.733
_cell_length_c 10.733
_cell_angle_alpha 90.00
_cell_angle_beta 90.00
_cell_angle_gamma 90.00
loop_
_atom_site_label
_atom_site_type_symbol
_atom_site_fract_x
_atom_site_fract_y
_atom_site_fract_z
Rb1 Rb 0.250 0.250 0.250
La1 La 0.000 0.000 0.000
V1 V 0.000 0.000 0.500
Cl1 Cl 0.000 0.000 0.260
```

Calculated values
The calculation puts the uncorrected formation energy at -1714 meV/atom.

(13)
DFT (PBE) results for a geometry-optimized Rb2LaYCl6 structure.

Geometry as CIF:
```
data_Rb2LaYCl6
_space_group_name_H-M_alt 'F m -3 m'
_space_group_IT_number 225
_space_group_name_Hall '-F 4 2 3'
_cell_length_a 11.022
_cell_length_b 11.022
_cell_length_c 11.022
_cell_angle_alpha 90.00
_cell_angle_beta 90.00
_cell_angle_gamma 90.00
loop_
_atom_site_label
_atom_site_type_symbol
_atom_site_fract_x
_atom_site_fract_y
_atom_site_fract_z
Rb1 Rb 0.250 0.250 0.250
La1 La 0.000 0.000 0.000
Y1 Y 0.000 0.000 0.500
Cl1 Cl 0.000 0.000 0.257
```

Calculated values
The calculation puts the uncorrected formation energy at -1906 meV/atom.

(14)
DFT (PBE) results for a geometry-optimized Rb2LaZrCl6 structure.

Geometry as CIF:
```
data_Rb2LaZrCl6
_space_group_name_H-M_alt 'F m -3 m'
_space_group_IT_number 225
_space_group_name_Hall '-F 4 2 3'
_cell_length_a 10.892
_cell_length_b 10.892
_cell_length_c 10.892
_cell_angle_alpha 90.00
_cell_angle_beta 90.00
_cell_angle_gamma 90.00
loop_
_atom_site_label
_atom_site_type_symbol
_atom_site_fract_x
_atom_site_fract_y
_atom_site_fract_z
Rb1 Rb 0.250 0.250 0.250
La1 La 0.000 0.000 0.000
Zr1 Zr 0.000 0.000 0.500
Cl1 Cl 0.000 0.000 0.257
```

Calculated values
The calculation puts the uncorrected formation energy at -1742 meV/atom.

(15)
DFT (PBE) results for a geometry-optimized LaRe2Cl structure.

Geometry as CIF:
```
data_LaRe2Cl
_space_group_name_H-M_alt 'C 1 m 1'
_space_group_IT_number 8
_space_group_name_Hall 'C -2y'
_cell_length_a 7.101
_cell_length_b 4.112
_cell_length_c 6.972
_cell_angle_alpha 90.00
_cell_angle_beta 90.04
_cell_angle_gamma 90.00
loop_
_atom_site_label
_atom_site_type_symbol
_atom_site_fract_x
_atom_site_fract_y
_atom_site_fract_z
La1 La 0.000 0.000 0.000
Re1 Re 0.165 0.500 0.637
Re2 Re 0.332 0.000 0.734
Cl1 Cl 0.165 0.500 0.284
```

Calculated values
The value obtained for the relative energy among the computed polymorphs is 0 meV/atom. The calculation puts the uncorrected formation energy at -193 meV/atom.

(16)
DFT (PBE) results for a geometry-optimized LaRe2Cl structure.

Geometry as CIF:
```
data_LaRe2Cl
_space_group_name_H-M_alt 'F m -3 m'
_space_group_IT_number 225
_space_group_name_Hall '-F 4 2 3'
_cell_length_a 6.749
_cell_length_b 6.749
_cell_length_c 6.749
_cell_angle_alpha 90.00
_cell_angle_beta 90.00
_cell_angle_gamma 90.00
loop_
_atom_site_label
_atom_site_type_symbol
_atom_site_fract_x
_atom_site_fract_y
_atom_site_fract_z
La1 La 0.000 0.000 0.000
Re1 Re 0.250 0.250 0.250
Cl1 Cl 0.000 0.000 0.500
```

Calculated values
The value obtained for the relative energy among the computed polymorphs is 1791 meV/atom. The calculation puts the uncorrected formation energy at 1599 meV/atom.

(17)
DFT (PBE) results for a geometry-optimized La4ReCl5 structure.

Geometry as CIF:
```
data_La4ReCl5
_space_group_name_H-M_alt 'C 1 2/m 1'
_space_group_IT_number 12
_space_group_name_Hall '-C 2y'
_cell_length_a 18.434
_cell_length_b 4.286
_cell_length_c 8.921
_cell_angle_alpha 90.00
_cell_angle_beta 107.11
_cell_angle_gamma 90.00
loop_
_atom_site_label
_atom_site_type_symbol
_atom_site_fract_x
_atom_site_fract_y
_atom_site_fract_z
La1 La 0.001 0.000 0.234
La2 La 0.150 0.500 0.096
Re1 Re 0.000 0.500 0.000
Cl1 Cl 0.000 0.500 0.500
Cl2 Cl 0.167 0.000 0.328
Cl3 Cl 0.170 0.000 0.875
```

Calculated values
The calculation puts the uncorrected formation energy at -1602 meV/atom.

(18)
DFT (PBE) results for a geometry-optimized La2ReCl2 structure.

Geometry as CIF:
```
data_La2ReCl2
_space_group_name_H-M_alt 'P 4/m b m'
_space_group_IT_number 127
_space_group_name_Hall '-P 4 2ab'
_cell_length_a 8.268
_cell_length_b 8.268
_cell_length_c 3.424
_cell_angle_alpha 90.00
_cell_angle_beta 90.00
_cell_angle_gamma 90.00
loop_
_atom_site_label
_atom_site_type_symbol
_atom_site_fract_x
_atom_site_fract_y
_atom_site_fract_z
La1 La 0.183 0.317 0.000
Re1 Re 0.000 0.000 0.500
Cl1 Cl 0.121 0.621 0.500
```

Calculated values
The value obtained for the relative energy among the computed polymorphs is 158 meV/atom. The calculation puts the uncorrected formation energy at -473 meV/atom.

(19)
DFT (PBE) results for a geometry-optimized LaRe2Cl structure.

Geometry as CIF:
```
data_LaRe2Cl
_space_group_name_H-M_alt 'C 1 m 1'
_space_group_IT_number 8
_space_group_name_Hall 'C -2y'
_cell_length_a 7.177
_cell_length_b 4.079
_cell_length_c 8.062
_cell_angle_alpha 90.00
_cell_angle_beta 113.77
_cell_angle_gamma 90.00
loop_
_atom_site_label
_atom_site_type_symbol
_atom_site_fract_x
_atom_site_fract_y
_atom_site_fract_z
La1 La 0.000 0.000 0.000
Re1 Re 0.285 0.500 0.262
Re2 Re 0.488 0.000 0.340
Cl1 Cl 0.220 0.000 0.755
```

Calculated values
The value obtained for the relative energy among the computed polymorphs is 132 meV/atom. The calculation puts the uncorrected formation energy at -60 meV/atom.

(20)
DFT (PBE) results for a geometry-optimized LaReCl structure.

Geometry as CIF:
```
data_LaReCl
_space_group_name_H-M_alt 'F -4 3 m'
_space_group_IT_number 216
_space_group_name_Hall 'F -4 2 3'
_cell_length_a 6.726
_cell_length_b 6.726
_cell_length_c 6.726
_cell_angle_alpha 90.00
_cell_angle_beta 90.00
_cell_angle_gamma 90.00
loop_
_atom_site_label
_atom_site_type_symbol
_atom_site_fract_x
_atom_site_fract_y
_atom_site_fract_z
La1 La 0.000 0.000 0.000
Re1 Re 0.250 0.250 0.250
Cl1 Cl 0.000 0.000 0.500
```

Calculated values
The value obtained for the relative energy among the computed polymorphs is 585 meV/atom. The calculation puts the uncorrected formation energy at 830 meV/atom.

| no. | final energy (eV/atom) |
| --- | --- |
| 1 | -4.06 |
| 2 | -4.34 |
| 3 | -4.49 |
| 4 | -4.62 |
| 5 | -4.14 |
| 6 | -3.66 |
| 7 | -4.01 |
| 8 | -4.46 |
| 9 | -4.34 |
| 10 | -4.49 |
| 11 | -4.40 |
| 12 | -4.42 |
| 13 | -4.35 |
| 14 | -4.39 |
| 15 | -8.11 |
| 16 | -6.32 |
| 17 | -5.74 |
| 18 | -5.67 |
| 19 | -7.98 |
| 20 | -5.58 |